# ZnTc2Ir PBE-GGA optimized geometry
data_ZnTc2Ir
_space_group_name_H-M_alt 'I -4 2 d'
_space_group_IT_number 122
_space_group_name_Hall 'I -4 2bw'
_cell_length_a 7.205
_cell_length_b 7.205
_cell_length_c 5.054
_cell_angle_alpha 90.00
_cell_angle_beta 90.00
_cell_angle_gamma 90.00
loop_
_atom_site_label
_atom_site_type_symbol
_atom_site_fract_x
_atom_site_fract_y
_atom_site_fract_z
Zn1 Zn 0.000 0.000 0.000
Tc1 Tc 0.220 0.750 0.625
Ir1 Ir 0.000 0.000 0.500
# magnetization	0.00	μB/atom
# energy of formation from the pure elements	634	meV/atom

---

# ZnTc2Ir PBE-GGA optimized geometry
data_ZnTc2Ir
_space_group_name_H-M_alt 'C m m m'
_space_group_IT_number 65
_space_group_name_Hall '-C 2 2'
_cell_length_a 5.092
_cell_length_b 8.326
_cell_length_c 2.728
_cell_angle_alpha 90.00
_cell_angle_beta 90.00
_cell_angle_gamma 90.00
loop_
_atom_site_label
_atom_site_type_symbol
_atom_site_fract_x
_atom_site_fract_y
_atom_site_fract_z
Zn1 Zn 0.000 0.000 0.000
Tc1 Tc 0.250 0.250 0.500
Ir1 Ir 0.000 0.500 0.000
# magnetization	0.00	μB/atom
# energy of formation from the pure elements	63	meV/atom

---

# Zn2TcIr PBE-GGA optimized geometry
data_Zn2TcIr
_space_group_name_H-M_alt 'R 3 m'
_space_group_IT_number 160
_space_group_name_Hall 'R 3 -2"'
_cell_length_a 2.7685
_cell_length_b 2.7685
_cell_length_c 26.8252
_cell_angle_alpha 90.00
_cell_angle_beta 90.00
_cell_angle_gamma 120.00
loop_
_atom_site_label
_atom_site_type_symbol
_atom_site_fract_x
_atom_site_fract_y
_atom_site_fract_z
Zn1 Zn 0.0000 0.0000 0.0000
Zn2 Zn 0.0000 0.0000 0.2435
Tc1 Tc 0.0000 0.0000 0.7502
Ir1 Ir 0.0000 0.0000 0.4943
# magnetization	0.00	μB/atom
# energy of formation from the pure elements	-37	meV/atom
# energy above the lowest structure with this stoichiometry	92	meV/atom

---

# ZnTcIr2 PBE-GGA optimized geometry
data_ZnTcIr2
_space_group_name_H-M_alt 'C 1 m 1'
_space_group_IT_number 8
_space_group_name_Hall 'C -2y'
_cell_length_a 9.068
_cell_length_b 2.752
_cell_length_c 4.705
_cell_angle_alpha 90.00
_cell_angle_beta 99.66
_cell_angle_gamma 90.00
loop_
_atom_site_label
_atom_site_type_symbol
_atom_site_fract_x
_atom_site_fract_y
_atom_site_fract_z
Zn1 Zn 0.000 0.000 0.000
Tc1 Tc 0.238 0.000 0.706
Ir1 Ir 0.252 0.500 0.204
Ir2 Ir 0.493 0.000 0.507
# magnetization	0.00	μB/atom
# energy of formation from the pure elements	-77	meV/atom

---

# ZnTcIr2 PBE-GGA optimized geometry
data_ZnTcIr2
_space_group_name_H-M_alt 'P 4 m m'
_space_group_IT_number 99
_space_group_name_Hall 'P 4 -2'
_cell_length_a 2.748
_cell_length_b 2.748
_cell_length_c 7.649
_cell_angle_alpha 90.00
_cell_angle_beta 90.00
_cell_angle_gamma 90.00
loop_
_atom_site_label
_atom_site_type_symbol
_atom_site_fract_x
_atom_site_fract_y
_atom_site_fract_z
Zn1 Zn 0.000 0.000 0.000
Tc1 Tc 0.500 0.500 0.741
Ir1 Ir 0.000 0.000 0.501
Ir2 Ir 0.500 0.500 0.244
# magnetization	0.00	μB/atom
# energy of formation from the pure elements	-19	meV/atom

---

# ZnTc2Ir PBE-GGA optimized geometry
data_ZnTc2Ir
_space_group_name_H-M_alt 'P 4 m m'
_space_group_IT_number 99
_space_group_name_Hall 'P 4 -2'
_cell_length_a 2.781
_cell_length_b 2.781
_cell_length_c 7.461
_cell_angle_alpha 90.00
_cell_angle_beta 90.00
_cell_angle_gamma 90.00
loop_
_atom_site_label
_atom_site_type_symbol
_atom_site_fract_x
_atom_site_fract_y
_atom_site_fract_z
Zn1 Zn 0.000 0.000 0.000
Tc1 Tc 0.000 0.000 0.495
Tc2 Tc 0.500 0.500 0.742
Ir1 Ir 0.500 0.500 0.247
# magnetization	0.00	μB/atom
# energy of formation from the pure elements	-36	meV/atom

---

# ZnTc2Ir PBE-GGA optimized geometry
data_ZnTc2Ir
_space_group_name_H-M_alt 'I -4 m 2'
_space_group_IT_number 119
_space_group_name_Hall 'I -4 -2'
_cell_length_a 3.832
_cell_length_b 3.832
_cell_length_c 7.843
_cell_angle_alpha 90.00
_cell_angle_beta 90.00
_cell_angle_gamma 90.00
loop_
_atom_site_label
_atom_site_type_symbol
_atom_site_fract_x
_atom_site_fract_y
_atom_site_fract_z
Zn1 Zn 0.000 0.000 0.000
Tc1 Tc 0.000 0.000 0.500
Tc2 Tc 0.000 0.500 0.250
Ir1 Ir 0.000 0.500 0.750
# magnetization	0.00	μB/atom
# energy of formation from the pure elements	57	meV/atom

---

# Zn2TcIr PBE-GGA optimized geometry
data_Zn2TcIr
_space_group_name_H-M_alt 'P 4/m m m'
_space_group_IT_number 123
_space_group_name_Hall '-P 4 2'
_cell_length_a 2.978
_cell_length_b 2.978
_cell_length_c 6.367
_cell_angle_alpha 90.00
_cell_angle_beta 90.00
_cell_angle_gamma 90.00
loop_
_atom_site_label
_atom_site_type_symbol
_atom_site_fract_x
_atom_site_fract_y
_atom_site_fract_z
Zn1 Zn 0.000 0.000 0.242
Tc1 Tc 0.500 0.500 0.500
Ir1 Ir 0.500 0.500 0.000
# magnetization	0.12	μB/atom
# energy of formation from the pure elements	107	meV/atom
# energy above the lowest structure with this stoichiometry	236	meV/atom

---

# ZnTc2Ir PBE-GGA optimized geometry
data_ZnTc2Ir
_space_group_name_H-M_alt 'P 4/m m m'
_space_group_IT_number 123
_space_group_name_Hall '-P 4 2'
_cell_length_a 4.633
_cell_length_b 4.633
_cell_length_c 2.727
_cell_angle_alpha 90.00
_cell_angle_beta 90.00
_cell_angle_gamma 90.00
loop_
_atom_site_label
_atom_site_type_symbol
_atom_site_fract_x
_atom_site_fract_y
_atom_site_fract_z
Zn1 Zn 0.000 0.000 0.000
Tc1 Tc 0.000 0.500 0.500
Ir1 Ir 0.500 0.500 0.000
# magnetization	0.00	μB/atom
# energy of formation from the pure elements	217	meV/atom

---

# ZnTc2Ir PBE-GGA optimized geometry
data_ZnTc2Ir
_space_group_name_H-M_alt 'R 3 m'
_space_group_IT_number 160
_space_group_name_Hall 'R 3 -2"'
_cell_length_a 2.7608
_cell_length_b 2.7608
_cell_length_c 26.3574
_cell_angle_alpha 90.00
_cell_angle_beta 90.00
_cell_angle_gamma 120.00
loop_
_atom_site_label
_atom_site_type_symbol
_atom_site_fract_x
_atom_site_fract_y
_atom_site_fract_z
Zn1 Zn 0.0000 0.0000 0.0000
Tc1 Tc 0.0000 0.0000 0.2476
Tc2 Tc 0.0000 0.0000 0.5007
Ir1 Ir 0.0000 0.0000 0.7497
# magnetization	0.00	μB/atom
# energy of formation from the pure elements	-45	meV/atom

---

# ZnTcIr2 PBE-GGA optimized geometry
data_ZnTcIr2
_space_group_name_H-M_alt 'C 1 2/m 1'
_space_group_IT_number 12
_space_group_name_Hall '-C 2y'
_cell_length_a 9.048
_cell_length_b 2.718
_cell_length_c 4.734
_cell_angle_alpha 90.00
_cell_angle_beta 98.75
_cell_angle_gamma 90.00
loop_
_atom_site_label
_atom_site_type_symbol
_atom_site_fract_x
_atom_site_fract_y
_atom_site_fract_z
Zn1 Zn 0.000 0.000 0.000
Tc1 Tc 0.000 0.500 0.500
Ir1 Ir 0.247 0.000 0.749
# magnetization	0.00	μB/atom
# energy of formation from the pure elements	-57	meV/atom

---

# Zn2TcIr PBE-GGA optimized geometry
data_Zn2TcIr
_space_group_name_H-M_alt 'C 1 2/m 1'
_space_group_IT_number 12
_space_group_name_Hall '-C 2y'
_cell_length_a 8.778
_cell_length_b 2.750
_cell_length_c 4.836
_cell_angle_alpha 90.00
_cell_angle_beta 100.14
_cell_angle_gamma 90.00
loop_
_atom_site_label
_atom_site_type_symbol
_atom_site_fract_x
_atom_site_fract_y
_atom_site_fract_z
Zn1 Zn 0.248 0.000 0.248
Tc1 Tc 0.000 0.000 0.500
Ir1 Ir 0.000 0.500 0.000
# magnetization	0.00	μB/atom
# energy of formation from the pure elements	-9	meV/atom
# energy above the lowest structure with this stoichiometry	119	meV/atom

---

# ZnTc2Ir PBE-GGA optimized geometry
data_ZnTc2Ir
_space_group_name_H-M_alt 'P 4/m m m'
_space_group_IT_number 123
_space_group_name_Hall '-P 4 2'
_cell_length_a 2.710
_cell_length_b 2.710
_cell_length_c 7.878
_cell_angle_alpha 90.00
_cell_angle_beta 90.00
_cell_angle_gamma 90.00
loop_
_atom_site_label
_atom_site_type_symbol
_atom_site_fract_x
_atom_site_fract_y
_atom_site_fract_z
Zn1 Zn 0.000 0.000 0.000
Tc1 Tc 0.500 0.500 0.254
Ir1 Ir 0.000 0.000 0.500
# magnetization	0.04	μB/atom
# energy of formation from the pure elements	25	meV/atom

---

# Zn2TcIr PBE-GGA optimized geometry
data_Zn2TcIr
_space_group_name_H-M_alt 'P 1 m 1'
_space_group_IT_number 6
_space_group_name_Hall 'P -2y'
_cell_length_a 2.778
_cell_length_b 3.744
_cell_length_c 5.540
_cell_angle_alpha 90.00
_cell_angle_beta 90.12
_cell_angle_gamma 90.00
loop_
_atom_site_label
_atom_site_type_symbol
_atom_site_fract_x
_atom_site_fract_y
_atom_site_fract_z
Zn1 Zn 0.000 0.000 0.000
Zn2 Zn 0.498 0.500 0.232
Tc1 Tc 0.998 0.000 0.505
Ir1 Ir 0.499 0.500 0.728
# magnetization	0.00	μB/atom
# energy of formation from the pure elements	-60	meV/atom
# energy above the lowest structure with this stoichiometry	68	meV/atom

---

# ZnTc4Ir PBE-GGA optimized geometry
data_ZnTc4Ir
_space_group_name_H-M_alt 'F -4 3 m'
_space_group_IT_number 216
_space_group_name_Hall 'F -4 2 3'
_cell_length_a 7.184
_cell_length_b 7.184
_cell_length_c 7.184
_cell_angle_alpha 90.00
_cell_angle_beta 90.00
_cell_angle_gamma 90.00
loop_
_atom_site_label
_atom_site_type_symbol
_atom_site_fract_x
_atom_site_fract_y
_atom_site_fract_z
Zn1 Zn 0.000 0.000 0.000
Tc1 Tc 0.126 0.126 0.374
Ir1 Ir 0.250 0.250 0.750
# magnetization	0.00	μB/atom
# energy of formation from the pure elements	416	meV/atom

---

# ZnTcIr2 PBE-GGA optimized geometry
data_ZnTcIr2
_space_group_name_H-M_alt 'C m m m'
_space_group_IT_number 65
_space_group_name_Hall '-C 2 2'
_cell_length_a 2.788
_cell_length_b 4.697
_cell_length_c 9.007
_cell_angle_alpha 90.00
_cell_angle_beta 90.00
_cell_angle_gamma 90.00
loop_
_atom_site_label
_atom_site_type_symbol
_atom_site_fract_x
_atom_site_fract_y
_atom_site_fract_z
Zn1 Zn 0.000 0.000 0.000
Tc1 Tc 0.000 0.000 0.500
Ir1 Ir 0.000 0.500 0.247
# magnetization	0.20	μB/atom
# energy of formation from the pure elements	119	meV/atom

---

# ZnTc2Ir PBE-GGA optimized geometry
data_ZnTc2Ir
_space_group_name_H-M_alt 'R -3 m'
_space_group_IT_number 166
_space_group_name_Hall '-R 3 2"'
_cell_length_a 2.7482
_cell_length_b 2.7482
_cell_length_c 26.6746
_cell_angle_alpha 90.00
_cell_angle_beta 90.00
_cell_angle_gamma 120.00
loop_
_atom_site_label
_atom_site_type_symbol
_atom_site_fract_x
_atom_site_fract_y
_atom_site_fract_z
Zn1 Zn 0.0000 0.0000 0.0000
Tc1 Tc 0.0000 0.0000 0.2486
Ir1 Ir 0.0000 0.0000 0.5000
# magnetization	0.00	μB/atom
# energy of formation from the pure elements	24	meV/atom

---

# ZnTcIr2 PBE-GGA optimized geometry
data_ZnTcIr2
_space_group_name_H-M_alt 'I m m 2'
_space_group_IT_number 44
_space_group_name_Hall 'I 2 -2'
_cell_length_a 2.885
_cell_length_b 4.475
_cell_length_c 8.901
_cell_angle_alpha 90.00
_cell_angle_beta 90.00
_cell_angle_gamma 90.00
loop_
_atom_site_label
_atom_site_type_symbol
_atom_site_fract_x
_atom_site_fract_y
_atom_site_fract_z
Zn1 Zn 0.000 0.000 0.000
Tc1 Tc 0.000 0.500 0.262
Ir1 Ir 0.000 0.000 0.504
Ir2 Ir 0.000 0.500 0.732
# magnetization	0.00	μB/atom
# energy of formation from the pure elements	92	meV/atom

---

# ZnTcIr2 PBE-GGA optimized geometry
data_ZnTcIr2
_space_group_name_H-M_alt 'C m m 2'
_space_group_IT_number 35
_space_group_name_Hall 'C 2 -2'
_cell_length_a 2.766
_cell_length_b 4.676
_cell_length_c 9.136
_cell_angle_alpha 90.00
_cell_angle_beta 90.00
_cell_angle_gamma 90.00
loop_
_atom_site_label
_atom_site_type_symbol
_atom_site_fract_x
_atom_site_fract_y
_atom_site_fract_z
Zn1 Zn 0.000 0.000 0.000
Tc1 Tc 0.000 0.500 0.747
Ir1 Ir 0.000 0.000 0.502
Ir2 Ir 0.000 0.500 0.241
# magnetization	0.00	μB/atom
# energy of formation from the pure elements	197	meV/atom

---

# ZnTcIr PBE-GGA optimized geometry
data_ZnTcIr
_space_group_name_H-M_alt 'P 4/n m m'
_space_group_IT_number 129
_cell_length_a 2.759
_cell_length_b 2.759
_cell_length_c 11.534
_cell_angle_alpha 90.00
_cell_angle_beta 90.00
_cell_angle_gamma 90.00
loop_
_space_group_symop_operation_xyz
'x,y,z'
'-x,-y,-z'
'-y+1/2,x,z'
'y+1/2,-x,-z'
'-x+1/2,-y+1/2,z'
'x+1/2,y+1/2,-z'
'y,-x+1/2,z'
'-y,x+1/2,-z'
'x+1/2,-y,-z'
'-x+1/2,y,z'
'-y,-x,-z'
'y,x,z'
'-x,y+1/2,-z'
'x,-y+1/2,z'
'y+1/2,x+1/2,-z'
'-y+1/2,-x+1/2,z'
loop_
_atom_site_label
_atom_site_type_symbol
_atom_site_fract_x
_atom_site_fract_y
_atom_site_fract_z
Zn1 Zn 0.250 0.250 0.089
Tc1 Tc 0.250 0.250 0.408
Ir1 Ir 0.250 0.250 0.746
# magnetization	0.00	μB/atom
# energy of formation from the pure elements	-158	meV/atom
# energy above the lowest structure with this stoichiometry	0	meV/atom